Here is a geometry-optimized Cu2RhAu structure from Alexandria via LeMat-Bulk. Energies are from PBE.

Calculated values
Calculated formation energy, eV/atom: 0.06
Crystal system: monoclinic
Mass density, Mg/m³: 12.6
Total magnetic moment, μB per formula unit: 0.0

POSCAR file:
```
Cu2RhAu
1.0
4.8756 0.0097 0.0848
4.0721 2.6814 0.0848
1.2239 0.3681 4.3553
Cu Rh Au
2 1 1
Direct
0.7405 0.7405 0.7246 Cu
0.0110 0.0110 0.0209 Cu
0.4909 0.4909 0.5405 Rh
0.2576 0.2576 0.2141 Au
```